Entry from Alexandria via LeMat-Bulk: crystalline CaNbVSnO6 at its relaxed geometry (GGA+U).

Output
Calculated total energy = -7.491 eV per atom
Spin magnetization = 2.00 Bohr magnetons per cell

Cell lengths 5.651, 5.651, 5.651 Å; angles 60.00, 60.00, 60.00 degrees
Last column: magnetic moment on the atom in μB.
Positions (direct):
Ca 0.750 0.750 0.750  0.01
Nb 0.000 0.000 0.000  0.18
V 0.500 0.500 0.500  1.79
Sn 0.250 0.250 0.250  0.01
O 0.251 0.749 0.251  -0.03
O 0.749 0.251 0.749  -0.03
O 0.251 0.749 0.749  -0.03
O 0.749 0.251 0.251  -0.03
O 0.251 0.251 0.749  -0.03
O 0.749 0.749 0.251  -0.03